This record from Alexandria via LeMat-Bulk describes an optimized crystal structure of FeAg3. The functional is PBE.

Results
- raw total energy (eV per atom) = -4.01
- formation energy (eV/atom) = 0.247
- SG = No. 123

Unit cell a=2.827 b=2.827 c=8.260 alpha=90.00 beta=90.00 gamma=90.00
Each line ends with the local moment (μB).
Atoms (fractional coordinates):
Ag  0.000  0.000  0.985  0.01
Ag  0.000  0.000  0.515  0.01
Ag  0.500  0.500  0.250  -0.01
Fe  0.500  0.500  0.750  2.91